Density functional theory data (PBE) for a geometry-optimized Pr4Rh6O19 structure.

Cell: 7.762 7.762 7.762 Å, 109.47 109.47 109.47°
Sites, in units of the cell vectors:
Pr: 0.000 0.000 0.324
Pr: 0.000 0.324 0.000
Pr: 0.324 0.000 0.000
Pr: 0.676 0.676 0.676
Rh: 0.164 0.500 0.664
Rh: 0.336 0.836 0.500
Rh: 0.500 0.336 0.836
Rh: 0.500 0.664 0.164
Rh: 0.664 0.164 0.500
Rh: 0.836 0.500 0.336
O: 0.000 0.000 0.000
O: 0.000 0.348 0.348
O: 0.000 0.652 0.652
O: 0.032 0.674 0.274
O: 0.242 0.642 0.968
O: 0.274 0.032 0.674
O: 0.326 0.358 0.599
O: 0.348 0.000 0.348
O: 0.348 0.348 0.000
O: 0.358 0.599 0.326
O: 0.401 0.758 0.726
O: 0.599 0.326 0.358
O: 0.642 0.968 0.242
O: 0.652 0.000 0.652
O: 0.652 0.652 0.000
O: 0.674 0.274 0.032
O: 0.726 0.401 0.758
O: 0.758 0.726 0.401
O: 0.968 0.242 0.642

Calculated values
**D(E_F)**: 18.73 states/eV/cell
**Formation energy from raw total energies**: -46.928 eV/f.u.

Density functional theory data (PBE) for a geometry-optimized Pr2Rh2O7 structure.

Cell: 7.422 7.422 7.422 Å, 60.00 60.00 60.00°
Sites, in units of the cell vectors:
Pr: 0.000 0.000 0.000
Pr: 0.000 0.000 0.500
Pr: 0.000 0.500 0.000
Pr: 0.500 0.000 0.000
Rh: 0.000 0.500 0.500
Rh: 0.500 0.000 0.500
Rh: 0.500 0.500 0.000
Rh: 0.500 0.500 0.500
O: 0.125 0.125 0.125
O: 0.169 0.169 0.581
O: 0.169 0.581 0.169
O: 0.169 0.581 0.581
O: 0.419 0.419 0.831
O: 0.419 0.831 0.419
O: 0.419 0.831 0.831
O: 0.581 0.169 0.169
O: 0.581 0.169 0.581
O: 0.581 0.581 0.169
O: 0.831 0.419 0.419
O: 0.831 0.419 0.831
O: 0.831 0.831 0.419
O: 0.875 0.875 0.875

Calculated values
**D(E_F)**: 11.75 states/eV/cell
**Formation energy from raw total energies**: -21.434 eV/f.u.

Density functional theory data (PBE) for a geometry-optimized Pr2RhO6 structure.

Cell: 6.576 6.576 6.576 Å, 146.76 129.54 61.77°
Sites, in units of the cell vectors:
Pr: 0.170 0.170 0.000
Pr: 0.830 0.830 0.000
Rh: 0.500 0.500 0.000
O: 0.124 0.354 0.770
O: 0.299 0.000 0.299
O: 0.416 0.646 0.770
O: 0.584 0.354 0.230
O: 0.701 0.000 0.701
O: 0.876 0.646 0.230

Calculated values
**D(E_F)**: 7.77 states/eV/cell
**Formation energy from raw total energies**: -16.558 eV/f.u.

Density functional theory data (PBE) for a geometry-optimized Pr2RuRhO8 structure.

Cell: 4.388 5.899 6.344 Å, 86.12 88.58 77.46°
Sites, in units of the cell vectors:
Pr: 0.226 0.053 0.235
Pr: 0.774 0.947 0.765
Ru: 0.500 0.500 0.500
Rh: 0.500 0.500 0.000
O: 0.239 0.802 0.534
O: 0.245 0.446 0.261
O: 0.278 0.838 0.939
O: 0.322 0.362 0.752
O: 0.678 0.638 0.248
O: 0.722 0.162 0.061
O: 0.755 0.554 0.739
O: 0.761 0.198 0.466

Calculated values
**D(E_F)**: 6.78 states/eV/cell
**Formation energy from raw total energies**: -20.831 eV/f.u.